[1]
# CaZnRh | Alexandria via LeMat-Bulk | GGA-PBE | optimized geometry
# Crystal system: orthorhombic
# M_tot, μB per formula unit: 0.0
# E, Ry/atom: -0.2873
data_CaZnRh
_chemical_formula_sum 'Ca2 Zn2 Rh2'
_cell_length_a 3.2488
_cell_length_b 3.5612
_cell_length_c 10.0009
_cell_angle_alpha 90.00
_cell_angle_beta 90.00
_cell_angle_gamma 90.00
_symmetry_space_group_name_H-M 'I m m 2'
_symmetry_Int_Tables_number 44
_symmetry_space_group_name_Hall 'I 2 -2'
loop_
_atom_site_label
_atom_site_type_symbol
_atom_site_fract_x
_atom_site_fract_y
_atom_site_fract_z
_atom_site_occupancy
Ca1 Ca 0.0000 0.0000 0.0000 1
Zn1 Zn 0.0000 0.0000 0.2891 1
Rh1 Rh 0.0000 0.0000 0.6948 1

---

[2]
# CeErS2N | Alexandria via LeMat-Bulk | GGA-PBE | optimized geometry
# Crystal system: tetragonal
# M_tot, μB per formula unit: 0.0
# E, Ry/atom: -0.5318
# Raw formation energy, eV/atom: -1.820
data_CeErS2N
_chemical_formula_sum 'Ce2 Er2 S4 N2'
_cell_length_a 3.8826
_cell_length_b 3.8826
_cell_length_c 13.8313
_cell_angle_alpha 90.00
_cell_angle_beta 90.00
_cell_angle_gamma 90.00
_symmetry_space_group_name_H-M 'P 4/n m m'
_symmetry_Int_Tables_number 129
loop_
_symmetry_equiv_pos_as_xyz
'x,y,z'
'-x,-y,-z'
'-y+1/2,x,z'
'y+1/2,-x,-z'
'-x+1/2,-y+1/2,z'
'x+1/2,y+1/2,-z'
'y,-x+1/2,z'
'-y,x+1/2,-z'
'x+1/2,-y,-z'
'-x+1/2,y,z'
'-y,-x,-z'
'y,x,z'
'-x,y+1/2,-z'
'x,-y+1/2,z'
'y+1/2,x+1/2,-z'
'-y+1/2,-x+1/2,z'
loop_
_atom_site_label
_atom_site_type_symbol
_atom_site_fract_x
_atom_site_fract_y
_atom_site_fract_z
_atom_site_occupancy
Ce1 Ce 0.2500 0.2500 0.0861 1
Er1 Er 0.2500 0.2500 0.6209 1
S1 S 0.2500 0.2500 0.4096 1
S2 S 0.2500 0.2500 0.8012 1
N1 N 0.2500 0.7500 0.0000 1

---

[3]
# ReAs2Rh | Alexandria via LeMat-Bulk | GGA-PBE | optimized geometry
# Crystal system: orthorhombic
# M_tot, μB per formula unit: 0.0
# E, Ry/atom: -0.5147
# Excess energy over the best structure of this formula in the dataset, eV per formula unit: 1.33
data_ReAs2Rh
_chemical_formula_sum 'Re2 As4 Rh2'
_cell_length_a 2.8894
_cell_length_b 4.8427
_cell_length_c 10.1470
_cell_angle_alpha 90.00
_cell_angle_beta 90.00
_cell_angle_gamma 90.00
_symmetry_space_group_name_H-M 'C m m 2'
_symmetry_Int_Tables_number 35
_symmetry_space_group_name_Hall 'C 2 -2'
loop_
_atom_site_label
_atom_site_type_symbol
_atom_site_fract_x
_atom_site_fract_y
_atom_site_fract_z
_atom_site_occupancy
Re1 Re 0.0000 0.0000 0.0000 1
As1 As 0.0000 0.0000 0.4332 1
As2 As 0.0000 0.5000 0.7901 1
Rh1 Rh 0.0000 0.5000 0.2265 1

---

[4]
# La2Tb5HoTm | Alexandria via LeMat-Bulk | GGA-PBE | optimized geometry
# Crystal system: orthorhombic
# M_tot, μB per formula unit: 0.0
# E, Ry/atom: -0.3335
data_La2Tb5HoTm
_chemical_formula_sum 'La8 Tb20 Ho4 Tm4'
_cell_length_a 5.6452
_cell_length_b 20.0095
_cell_length_c 10.7092
_cell_angle_alpha 90.00
_cell_angle_beta 90.00
_cell_angle_gamma 90.00
_symmetry_space_group_name_H-M 'C m c 21'
_symmetry_Int_Tables_number 36
_symmetry_space_group_name_Hall 'C 2c -2'
loop_
_atom_site_label
_atom_site_type_symbol
_atom_site_fract_x
_atom_site_fract_y
_atom_site_fract_z
_atom_site_occupancy
La1 La 0.0000 0.1127 0.0000 1
La2 La 0.0000 0.1161 0.5847 1
Tb1 Tb 0.0000 0.0162 0.2883 1
Tb2 Tb 0.0000 0.2804 0.5740 1
Tb3 Tb 0.0000 0.2995 0.9711 1
Tb4 Tb 0.0000 0.3871 0.2875 1
Tb5 Tb 0.0000 0.4808 0.0068 1
Ho1 Ho 0.0000 0.2001 0.2770 1
Tm1 Tm 0.0000 0.4105 0.7278 1

---

[5]
# Rb3Pm3UTe8 | Alexandria via LeMat-Bulk | GGA-PBE | optimized geometry
# Crystal system: trigonal
# M_tot, μB per formula unit: 2.0
# E, Ry/atom: -0.3541
# Raw formation energy, eV/atom: -1.246
data_Rb3Pm3UTe8
_chemical_formula_sum 'Rb9 Pm9 U3 Te24'
_cell_length_a 9.1074
_cell_length_b 9.1074
_cell_length_c 26.1866
_cell_angle_alpha 90.00
_cell_angle_beta 90.00
_cell_angle_gamma 120.00
_symmetry_space_group_name_H-M 'R -3 m'
_symmetry_Int_Tables_number 166
_symmetry_space_group_name_Hall '-R 3 2"'
loop_
_atom_site_label
_atom_site_type_symbol
_atom_site_fract_x
_atom_site_fract_y
_atom_site_fract_z
_atom_site_occupancy
Rb1 Rb 0.0000 0.5000 0.0000 1
Pm1 Pm 0.0000 0.5000 0.5000 1
U1 U 0.0000 0.0000 0.5000 1
Te1 Te 0.0000 0.0000 0.2347 1
Te2 Te 0.0073 0.5037 0.2326 1

---

[6]
# Li3CoPd12 | Alexandria via LeMat-Bulk | GGA-PBE | optimized geometry
# Crystal system: tetragonal
# M_tot, μB per formula unit: 3.3
# E, Ry/atom: -0.3581
data_Li3CoPd12
_chemical_formula_sum 'Li3 Co1 Pd12'
_cell_length_a 3.8867
_cell_length_b 3.8867
_cell_length_c 15.4977
_cell_angle_alpha 90.00
_cell_angle_beta 90.00
_cell_angle_gamma 90.00
_symmetry_space_group_name_H-M 'P 4/m m m'
_symmetry_Int_Tables_number 123
_symmetry_space_group_name_Hall '-P 4 2'
loop_
_atom_site_label
_atom_site_type_symbol
_atom_site_fract_x
_atom_site_fract_y
_atom_site_fract_z
_atom_site_occupancy
Li1 Li 0.0000 0.0000 0.0000 1
Li2 Li 0.0000 0.0000 0.2490 1
Co1 Co 0.0000 0.0000 0.5000 1
Pd1 Pd 0.0000 0.5000 0.1250 1
Pd2 Pd 0.0000 0.5000 0.3771 1
Pd3 Pd 0.5000 0.5000 0.0000 1
Pd4 Pd 0.5000 0.5000 0.2505 1
Pd5 Pd 0.5000 0.5000 0.5000 1

---

[7]
# Ag2Pd4Au3 | Alexandria via LeMat-Bulk | GGA-PBE | optimized geometry
# Crystal system: monoclinic
# M_tot, μB per formula unit: 0.0
# E, Ry/atom: -0.3020
# Excess energy over the best structure of this formula in the dataset, eV per formula unit: 0.00
data_Ag2Pd4Au3
_chemical_formula_sum 'Ag4 Pd8 Au6'
_cell_length_a 12.2332
_cell_length_b 4.0519
_cell_length_c 6.4183
_cell_angle_alpha 90.00
_cell_angle_beta 108.68
_cell_angle_gamma 90.00
_symmetry_space_group_name_H-M 'C 1 2/m 1'
_symmetry_Int_Tables_number 12
_symmetry_space_group_name_Hall '-C 2y'
loop_
_atom_site_label
_atom_site_type_symbol
_atom_site_fract_x
_atom_site_fract_y
_atom_site_fract_z
_atom_site_occupancy
Ag1 Ag 0.1663 0.0000 0.0007 1
Pd1 Pd 0.0570 0.0000 0.3353 1
Pd2 Pd 0.2219 0.5000 0.3373 1
Au1 Au 0.0000 0.5000 0.0000 1
Au2 Au 0.1122 0.5000 0.6619 1

---

[8]
# ZrCr2Se | Alexandria via LeMat-Bulk | GGA-PBE | optimized geometry
# Crystal system: monoclinic
# M_tot, μB per formula unit: 0.0
# E, Ry/atom: -0.5699
# Raw formation energy, eV/atom: 0.067
data_ZrCr2Se
_chemical_formula_sum 'Zr2 Cr4 Se2'
_cell_length_a 9.1401
_cell_length_b 3.2477
_cell_length_c 4.4337
_cell_angle_alpha 90.00
_cell_angle_beta 105.76
_cell_angle_gamma 90.00
_symmetry_space_group_name_H-M 'C 1 2/m 1'
_symmetry_Int_Tables_number 12
_symmetry_space_group_name_Hall '-C 2y'
loop_
_atom_site_label
_atom_site_type_symbol
_atom_site_fract_x
_atom_site_fract_y
_atom_site_fract_z
_atom_site_occupancy
Zr1 Zr 0.0000 0.0000 0.0000 1
Cr1 Cr 0.2364 0.0000 0.6716 1
Se1 Se 0.0000 0.5000 0.5000 1

---

Number 1: Fermi-level density of states 3.8 states/eV/cell. Number 2: Fermi-level density of states 4.4 states/eV/cell. Number 3: Fermi-level density of states 8.5 states/eV/cell. Number 4: Fermi-level density of states 49.3 states/eV/cell. Number 5: Fermi-level density of states 15.5 states/eV/cell. Number 6: Fermi-level density of states 22.0 states/eV/cell. Number 7: Fermi-level density of states 9.1 states/eV/cell. Number 8: Fermi-level density of states 7.3 states/eV/cell.